[1]
Density functional theory data (meta-GGA SCAN) for a PBEsol-optimized structure of Sr2H2I.

abc: 7.4235 7.4235 7.4235
angles: 148.27 148.27 45.48
Sites, in units of the cell vectors:
Sr 0.1556 0.1556 0.0000
Sr 0.8444 0.8444 0.0000
H 0.2500 0.7500 0.5000
H 0.7500 0.2500 0.5000
I 0.5000 0.5000 0.0000

Output
Uncorrected energy, eV per formula unit: -92.6



[2]
Density functional theory data (meta-GGA SCAN) for a PBEsol-optimized structure of TlCrBr2.

abc: 3.7809 3.7809 8.0568
angles: 90.00 90.00 90.00
Sites, in units of the cell vectors:
Tl 0.0000 0.0000 0.0000
Cr 0.5000 0.5000 0.5417
Br 0.0000 0.0000 0.5819
Br 0.5000 0.5000 0.2223

Output
Energy above the most stable polymorph in this dataset, meV/atom: 0
Uncorrected energy, eV per formula unit: -131.8



[3]
Density functional theory data (meta-GGA SCAN) for a PBEsol-optimized structure of TlHgB2.

abc: 4.5034 4.5034 4.5034
angles: 60.00 60.00 60.00
Sites, in units of the cell vectors:
Tl 0.0000 0.0000 0.0000
Hg 0.5000 0.5000 0.5000
B 0.2500 0.2500 0.2500
B 0.7500 0.7500 0.7500

Output
Energy of formation, meV/atom: 1822
Uncorrected energy, eV per formula unit: -148.1



[4]
Density functional theory data (meta-GGA SCAN) for a PBEsol-optimized structure of BaHf2Rh2.

abc: 6.4206 6.4206 6.4206
angles: 136.90 136.90 62.60
Sites, in units of the cell vectors:
Ba 0.0000 0.0000 0.0000
Hf 0.3447 0.3447 0.0000
Hf 0.6553 0.6553 0.0000
Rh 0.2500 0.7500 0.5000
Rh 0.7500 0.2500 0.5000

Output
Energy of formation, meV/atom: -328
Uncorrected energy, eV per formula unit: -234.1



[5]
Density functional theory data (meta-GGA SCAN) for a PBEsol-optimized structure of TaTlPt.

abc: 6.3568 6.3568 6.3568
angles: 152.53 152.53 39.23
Sites, in units of the cell vectors:
Ta 0.0000 0.0000 0.0000
Tl 0.3182 0.3182 0.0000
Pt 0.6401 0.6401 0.0000

Output
Energy of formation, meV/atom: -47
Uncorrected energy, eV per formula unit: -209.3



[6]
Density functional theory data (meta-GGA SCAN) for a PBEsol-optimized structure of RbTi3Hg.

abc: 5.2472 5.2472 5.2472
angles: 90.00 90.00 90.00
Sites, in units of the cell vectors:
Rb 0.0000 0.0000 0.0000
Ti 0.0000 0.5000 0.5000
Ti 0.5000 0.0000 0.5000
Ti 0.5000 0.5000 0.0000
Hg 0.5000 0.5000 0.5000

Output
Energy of formation, meV/atom: 984
Uncorrected energy, eV per formula unit: -132.1



[7]
Density functional theory data (meta-GGA SCAN) for a PBEsol-optimized structure of Co2Hg.

abc: 5.5409 5.5409 5.5409
angles: 150.67 150.67 41.97
Sites, in units of the cell vectors:
Co 0.1888 0.1888 0.0000
Co 0.8112 0.8112 0.0000
Hg 0.5000 0.5000 0.0000

Output
Energy of formation, meV/atom: 357
Uncorrected energy, eV per formula unit: -101.7



[8]
Density functional theory data (meta-GGA SCAN) for a PBEsol-optimized structure of SbTe2IrS.

abc: 5.0192 5.0192 4.9200
angles: 90.00 90.00 90.00
Sites, in units of the cell vectors:
Sb 0.0000 0.0000 0.0000
Te 0.0000 0.5000 0.5000
Te 0.5000 0.0000 0.5000
Ir 0.5000 0.5000 0.0000
S 0.0000 0.0000 0.5000

Output
Uncorrected energy, eV per formula unit: -185.5



- Number 3 is which compound?
  TlHgB2